one) Computed, not measured: a geometry-optimized TiPtPb2 structure at the GGA-PBE level of DFT.

Summary:
**Volume**: 343 Å³ per cell
**Space-group type**: Fm-3m

Cell: 7.000 7.000 7.000 Å, 90.00 90.00 90.00°
Element x y z (fractional)
Ti 0.000 0.000 0.000
Ti 0.000 0.500 0.500
Ti 0.500 0.000 0.500
Ti 0.500 0.500 0.000
Pt 0.000 0.000 0.500
Pt 0.000 0.500 0.000
Pt 0.500 0.000 0.000
Pt 0.500 0.500 0.500
Pb 0.250 0.250 0.250
Pb 0.250 0.250 0.750
Pb 0.250 0.750 0.250
Pb 0.250 0.750 0.750
Pb 0.750 0.250 0.250
Pb 0.750 0.250 0.750
Pb 0.750 0.750 0.250
Pb 0.750 0.750 0.750

two) Computed, not measured: a geometry-optimized TiPtPb2 structure at the GGA-PBE level of DFT.

Summary:
**Volume**: 370 Å³ per cell
**Space-group type**: I-42d

Cell: 7.782 7.782 6.107 Å, 90.00 90.00 90.00°
Element x y z (fractional)
Ti 0.000 0.000 0.000
Ti 0.000 0.500 0.250
Ti 0.500 0.000 0.750
Ti 0.500 0.500 0.500
Pt 0.000 0.000 0.500
Pt 0.000 0.500 0.750
Pt 0.500 0.000 0.250
Pt 0.500 0.500 0.000
Pb 0.229 0.250 0.625
Pb 0.250 0.729 0.875
Pb 0.250 0.771 0.375
Pb 0.271 0.250 0.125
Pb 0.729 0.750 0.125
Pb 0.750 0.229 0.375
Pb 0.750 0.271 0.875
Pb 0.771 0.750 0.625

Most stable structure among those shown: one). Next: +0.088 eV/atom.